Here is crystalline SbI3O at its relaxed geometry from Alexandria via LeMat-Bulk. Energies are from PBE.

Calculated values
Energy relative to the elements, uncorrected: 495 meV per atom
Symmetry: Pm-3m (221)

POSCAR file:
```
SbI3O
1.0
-5.559 -2.167 -0.552
0.979 -3.689 4.619
-2.011 4.195 3.776
I Sb O
3 1 1
Direct
0.000 0.500 0.000
0.000 0.000 0.500
0.500 0.000 0.000
0.000 0.000 0.000
0.500 0.500 0.500
```

=====

Here is crystalline Ga2NiPt3 at its relaxed geometry from Alexandria via LeMat-Bulk. Energies are from PBE.

Calculated values
Energy of formation from the pure elements: -0.4201 eV per atom
Symmetry: Ibam (72)

POSCAR file:
```
Ga2NiPt3
1.0
5.282 0.000 0.000
0.000 5.360 0.000
-2.641 -2.680 6.405
Ga Ni Pt
4 2 6
Direct
0.373 0.133 0.266
0.627 0.867 0.734
0.107 0.367 0.734
0.893 0.633 0.266
0.000 0.250 0.000
0.000 0.750 0.000
0.413 0.674 0.348
0.587 0.326 0.652
0.064 0.826 0.652
0.936 0.174 0.348
0.500 0.750 0.000
0.500 0.250 0.000
```

=====

Here is crystalline Tl2SeO at its relaxed geometry from Alexandria via LeMat-Bulk. Energies are from PBE.

Calculated values
Energy relative to the elements, uncorrected: -331 meV per atom
Symmetry: I-42d (122)

POSCAR file:
```
Tl2SeO
1.0
6.169 0.000 0.000
0.000 6.169 0.000
3.084 3.084 5.813
Tl O Se
4 2 2
Direct
0.557 0.125 0.250
0.193 0.625 0.250
0.375 0.443 0.750
0.875 0.807 0.750
0.500 0.500 0.000
0.250 0.750 0.500
0.000 0.000 0.000
0.750 0.250 0.500
```

=====

no.,calculated total energy (eV/atom)
1,-2.251
2,-5.413
3,-3.625